Record 1
## BaLi2 (GGA-PBE)

Data for a relaxed structure of BaLi2.

abc: 5.8995 5.8995 5.8995
angles: 60.00 60.00 60.00
With the nearest neighbours (Å) after each atom.
Atoms (fractional coordinates):
Ba 0.0000 0.0000 0.0000  8 Li 3.61
Li 0.2500 0.2500 0.2500  4 Ba 3.61
Li 0.7500 0.7500 0.7500  4 Ba 3.61

Values from the calculation:
- Space-group type: Fm-3m (225)
- Energy: -1.436 eV/atom
- ΔE_f: 0.48 eV/atom
- N(E_F): 1.439 states/eV per atom

***

Record 2
## BaLi (GGA-PBE)

Data for a relaxed structure of BaLi.

abc: 4.4148 4.4148 4.4148
angles: 90.00 90.00 90.00
With the nearest neighbours (Å) after each atom.
Atoms (fractional coordinates):
Li 0.5000 0.5000 0.5000  8 Ba 3.82
Ba 0.0000 0.0000 0.0000  8 Li 3.82

Values from the calculation:
- Space-group type: Pm-3m (221)
- Energy: -1.867 eV/atom
- ΔE_f: 0.05 eV/atom
- Polymorph energy (0 for the lowest one): 0.0083 eV/atom
- N(E_F): 1.553 states/eV per atom

***

Record 3
## Ba2Li (GGA-PBE)

Data for a relaxed structure of Ba2Li.

abc: 6.2682 6.2673 4.4286
angles: 90.01 90.00 120.01
With the nearest neighbours (Å) after each atom.
Atoms (fractional coordinates):
Ba 0.6667 0.3334 0.2779  3 Li 3.82, 3 Ba 4.12
Li 0.0000 0.0000 0.0000  6 Ba 3.82
Ba 0.3333 0.6666 0.7221  3 Li 3.82, 3 Ba 4.12

Values from the calculation:
- Space-group type: P-3m1 (164)
- Energy: -1.798 eV/atom
- ΔE_f: 0.12 eV/atom
- Polymorph energy (0 for the lowest one): 0.0910 eV/atom
- N(E_F): 1.171 states/eV per atom

***

Record 4
## BaLi3 (GGA-PBE)

Data for a relaxed structure of BaLi3.

abc: 5.0395 5.0395 6.8286
angles: 68.39 68.39 59.65
With the nearest neighbours (Å) after each atom.
Atoms (fractional coordinates):
Li 0.8017 0.8017 0.5946  6 Li 2.96-3.14
Li 0.1983 0.1983 0.4054  6 Li 2.96-3.14
Ba 0.0000 0.0000 0.0000  8 Li 3.68-3.84
Li 0.5000 0.5000 0.5000  6 Li 2.96-2.97

Values from the calculation:
- Space-group type: C2/m (12)
- Energy: -1.857 eV/atom
- ΔE_f: 0.06 eV/atom
- N(E_F): 0.758 states/eV per atom

***

Record 5
## Ba3Li (GGA-PBE)

Data for a relaxed structure of Ba3Li.

abc: 6.0313 6.0313 6.0313
angles: 90.00 90.00 90.00
With the nearest neighbours (Å) after each atom.
Atoms (fractional coordinates):
Ba 0.5000 0.0000 0.5000  8 Ba 4.26, 4 Li 4.26
Li 0.0000 0.0000 0.0000  12 Ba 4.26
Ba 0.5000 0.5000 0.0000  8 Ba 4.26, 4 Li 4.26
Ba 0.0000 0.5000 0.5000  8 Ba 4.26, 4 Li 4.26

Values from the calculation:
- Space-group type: Pm-3m (221)
- Energy: -1.816 eV/atom
- ΔE_f: 0.10 eV/atom
- N(E_F): 1.380 states/eV per atom

***

Record 6
## Ba3Li (GGA-PBE)

Data for a relaxed structure of Ba3Li.

abc: 4.4190 4.4190 12.9892
angles: 90.00 90.00 120.00
With the nearest neighbours (Å) after each atom.
Atoms (fractional coordinates):
Ba 0.0000 0.0000 0.5355  3 Li 3.78
Li 0.6667 0.3333 0.7500  6 Ba 3.78
Ba 0.6667 0.3333 0.2500  12 Ba 4.42-4.50
Ba 0.0000 0.0000 0.9645  3 Li 3.78

Values from the calculation:
- Space-group type: P-6m2 (187)
- Energy: -1.827 eV/atom
- ΔE_f: 0.09 eV/atom
- N(E_F): 1.215 states/eV per atom